Entry 1:
Ca2CdN2 GGA-PBE optimized geometry; crystal system = monoclinic; V = 338.9 Å³ per cell; formation energy without anion corrections = -0.437 eV per atom
1.0
7.525 0.000 0.000
0.000 6.381 0.001
0.000 0.243 7.058
Ca Cd N
8 4 8
Direct
0.640 0.083 0.357 Ca
0.140 0.417 0.643 Ca
0.360 0.917 0.643 Ca
0.860 0.583 0.357 Ca
0.859 0.249 0.973 Ca
0.359 0.251 0.027 Ca
0.141 0.751 0.027 Ca
0.641 0.749 0.973 Ca
0.589 0.419 0.682 Cd
0.089 0.081 0.318 Cd
0.411 0.581 0.318 Cd
0.911 0.919 0.682 Cd
0.135 0.428 0.267 N
0.635 0.072 0.733 N
0.865 0.572 0.733 N
0.365 0.928 0.267 N
0.637 0.408 0.187 N
0.137 0.092 0.813 N
0.363 0.592 0.813 N
0.863 0.908 0.187 N

---

Entry 2:
Ca2CdN GGA-PBE optimized geometry; excess energy over the best structure of this formula in the dataset = 0 meV per atom; crystal system = trigonal; DOS(E_F) = 1.22 states/eV/cell; V = 93.5 Å³ per cell; formation energy without anion corrections = -0.626 eV per atom
1.0
3.562 0.000 0.000
1.781 3.084 0.000
1.781 1.028 8.513
Ca N Cd
2 1 1
Direct
0.216 0.216 0.352 Ca
0.784 0.784 0.648 Ca
0.500 0.500 0.500 N
0.000 0.000 0.000 Cd

---

Entry 3:
Ca6CdN2 GGA-PBE optimized geometry; crystal system = monoclinic; DOS(E_F) = 4.18 states/eV/cell; V = 277.5 Å³ per cell; formation energy without anion corrections = -0.464 eV per atom
1.0
-0.118 0.111 4.230
2.518 -6.575 -1.875
8.218 4.851 0.101
Ca Cd N
6 1 2
Direct
0.905 0.809 0.786 Ca
0.809 0.617 0.103 Ca
0.191 0.383 0.897 Ca
0.666 0.333 0.616 Ca
0.334 0.667 0.384 Ca
0.095 0.191 0.214 Ca
0.000 0.000 0.500 Cd
0.756 0.511 0.844 N
0.244 0.489 0.156 N

---

Entry 4:
CaNd2CdN GGA-PBE optimized geometry; crystal system = tetragonal; DOS(E_F) = 4.94 states/eV/cell; V = 125.6 Å³ per cell; formation energy without anion corrections = -0.655 eV per atom
1.0
4.913 0.000 0.000
0.000 5.055 0.000
0.000 0.000 5.055
Ca Nd Cd N
1 2 1 1
Direct
0.500 0.000 0.000 Ca
0.000 0.000 0.500 Nd
0.000 0.500 0.000 Nd
0.500 0.500 0.500 Cd
0.000 0.000 0.000 N

---

Entry 5:
Ca2CdNiN GGA-PBE optimized geometry; crystal system = tetragonal; DOS(E_F) = 3.72 states/eV/cell; V = 96.6 Å³ per cell; formation energy without anion corrections = -0.447 eV per atom
1.0
5.147 0.000 0.000
0.000 5.147 0.000
0.000 0.000 3.647
Ni Ca N Cd
1 2 1 1
Direct
0.000 0.000 0.500 Ni
0.000 0.500 0.000 Ca
0.500 0.000 0.000 Ca
0.000 0.000 0.000 N
0.500 0.500 0.500 Cd

---

Entry 6:
Ca6Cd2NO GGA-PBE optimized geometry; crystal system = tetragonal; DOS(E_F) = 8.43 states/eV/cell; V = 479.4 Å³ per cell; formation energy without anion corrections = -0.956 eV per atom
1.0
6.983 0.000 0.000
0.000 6.983 0.000
0.000 0.000 9.830
Ca Cd N O
12 4 2 2
Direct
0.500 0.250 0.252 Ca
0.500 0.250 0.748 Ca
0.000 0.750 0.248 Ca
0.000 0.750 0.752 Ca
0.253 0.003 0.500 Ca
0.747 0.003 0.500 Ca
0.253 0.497 0.500 Ca
0.747 0.497 0.500 Ca
0.753 0.503 0.000 Ca
0.247 0.503 0.000 Ca
0.247 0.997 0.000 Ca
0.753 0.997 0.000 Ca
0.500 0.750 0.250 Cd
0.000 0.250 0.750 Cd
0.500 0.750 0.750 Cd
0.000 0.250 0.250 Cd
0.500 0.250 0.500 N
0.000 0.750 0.000 N
0.000 0.750 0.500 O
0.500 0.250 0.000 O

---

| no. | final energy (eV per atom) |
| --- | --- |
| 1 | -4.75 |
| 2 | -3.94 |
| 3 | -3.75 |
| 4 | -4.81 |
| 5 | -4.25 |
| 6 | -3.67 |